{
  "formula": "NaB3SeO7",
  "functional": "PBEsol",
  "state": "optimized geometry",
  "cell": [[4.518, 0.000, 0.000], [0.000, 16.030, 0.000], [-1.265, 0.000, 8.595]],
  "species": ["Na", "Na", "Na", "Na", "B", "B", "B", "B", "B", "B", "B", "B", "B", "B", "B", "B", "Se", "Se", "Se", "Se", "O", "O", "O", "O", "O", "O", "O", "O", "O", "O", "O", "O", "O", "O", "O", "O", "O", "O", "O", "O", "O", "O", "O", "O", "O", "O", "O", "O"],
  "frac_coords": [[0.173, 0.109, 0.450], [0.173, 0.391, 0.950], [0.827, 0.609, 0.050], [0.827, 0.891, 0.550], [0.007, 0.182, 0.977], [0.007, 0.239, 0.722], [0.007, 0.261, 0.222], [0.007, 0.318, 0.477], [0.177, 0.595, 0.753], [0.177, 0.905, 0.253], [0.823, 0.095, 0.747], [0.823, 0.405, 0.247], [0.993, 0.682, 0.523], [0.993, 0.739, 0.778], [0.993, 0.761, 0.278], [0.993, 0.818, 0.023], [0.341, 0.509, 0.285], [0.341, 0.991, 0.785], [0.659, 0.009, 0.215], [0.659, 0.491, 0.715], [0.028, 0.518, 0.800], [0.028, 0.982, 0.300], [0.051, 0.192, 0.136], [0.051, 0.308, 0.636], [0.074, 0.248, 0.882], [0.074, 0.252, 0.382], [0.095, 0.608, 0.585], [0.095, 0.892, 0.085], [0.102, 0.666, 0.844], [0.102, 0.834, 0.344], [0.389, 0.587, 0.169], [0.389, 0.913, 0.669], [0.499, 0.081, 0.703], [0.499, 0.419, 0.203], [0.501, 0.581, 0.797], [0.501, 0.919, 0.297], [0.611, 0.087, 0.331], [0.611, 0.413, 0.831], [0.898, 0.166, 0.656], [0.898, 0.334, 0.156], [0.905, 0.108, 0.915], [0.905, 0.392, 0.415], [0.926, 0.748, 0.618], [0.926, 0.752, 0.118], [0.949, 0.692, 0.364], [0.949, 0.808, 0.864], [0.972, 0.018, 0.700], [0.972, 0.482, 0.200]],
  "formation_energy_uncorrected_ev_per_atom": -2.002,
  "volume_a3_per_cell": 622.40,
  "dos_at_fermi_per_ev_cell": 0.0
}